No. 1
First-principles (GGA-PBE) data for crystalline LiPm3Pb2 at its relaxed geometry, as listed in Alexandria via LeMat-Bulk.

Cell lengths 4.5120, 11.6897, 9.4533 Å; angles 130.34, 90.00, 101.13 degrees
With the nearest neighbours (Å) after each atom.
Element x y z (fractional)
Li: 0.8374 0.6748 0.8893  4 Pb 3.00-3.07
Li: 0.1626 0.3252 0.1107  4 Pb 3.00-3.07
Pm: 0.3379 0.6759 0.6111  5 Pb 3.27-3.52, 2 Li 3.47
Pm: 0.9659 0.9319 0.6054  3 Pb 3.23-3.26, 1 Pm 3.24
Pm: 0.6493 0.2986 0.8131  4 Pb 3.29-3.35, 2 Li 3.46
Pm: 0.3507 0.7014 0.1869  4 Pb 3.29-3.35, 2 Li 3.46
Pm: 0.0341 0.0681 0.3946  3 Pb 3.23-3.26, 1 Pm 3.24
Pm: 0.6621 0.3241 0.3889  5 Pb 3.27-3.52, 2 Li 3.47
Pb: 0.5421 0.0842 0.9294  1 Pb 2.99, 2 Li 3.07, 4 Pm 3.23-3.29
Pb: 0.4579 0.9158 0.0706  1 Pb 2.99, 2 Li 3.07, 4 Pm 3.23-3.29
Pb: 0.7768 0.5536 0.2851  2 Li 3.00, 6 Pm 3.26-3.35
Pb: 0.2232 0.4464 0.7149  2 Li 3.00, 6 Pm 3.26-3.35

Space-group type: C2/m, No. 12
Energy relative to the elements in eV per formula unit: -1.536



No. 2
First-principles (GGA-PBE) data for crystalline NpTl2GeSe5 at its relaxed geometry, as listed in Alexandria via LeMat-Bulk.

Cell lengths 4.1612, 9.7360, 14.2554 Å; angles 90.00, 90.00, 102.34 degrees
With the nearest neighbours (Å) after each atom.
Element x y z (fractional)
Np: 0.8009 0.6018 0.5342  6 Se 2.65-2.97
Np: 0.1991 0.3982 0.0342  6 Se 2.65-2.97
Tl: 0.8739 0.7479 0.8352  6 Se 3.24-3.49
Tl: 0.1289 0.2578 0.6738  3 Se 3.16-3.31
Tl: 0.1261 0.2521 0.3352  6 Se 3.24-3.49
Tl: 0.8711 0.7422 0.1738  3 Se 3.16-3.31
Ge: 0.5588 0.1176 0.9166  4 Se 2.31-2.55
Ge: 0.4412 0.8824 0.4166  4 Se 2.31-2.55
Se: 0.3378 0.6756 0.0134  1 Np 2.65
Se: 0.6860 0.3721 0.8924  1 Ge 2.44
Se: 0.4971 0.9942 0.7772  1 Ge 2.31
Se: 0.3028 0.6056 0.6629  2 Np 2.77
Se: 0.9564 0.9128 0.5182  2 Ge 2.55
Se: 0.6622 0.3244 0.5134  1 Np 2.65
Se: 0.3140 0.6279 0.3924  1 Ge 2.44
Se: 0.5029 0.0058 0.2772  1 Ge 2.31
Se: 0.6972 0.3944 0.1629  2 Np 2.77
Se: 0.0436 0.0872 0.0182  2 Ge 2.55

Formation energy (no corrections) in kJ/mol of formula units: -481
Space-group type: Cmc2_1, No. 36



No. 3
First-principles (GGA-PBE) data for crystalline SmF3 at its relaxed geometry, as listed in Alexandria via LeMat-Bulk.

Cell lengths 3.6240, 4.8679, 4.4081 Å; angles 123.52, 114.27, 90.00 degrees
With the nearest neighbours (Å) after each atom.
Element x y z (fractional)
Sm: 0.0000 0.0754 0.0000  8 F 2.26-2.44
F: 0.2981 0.6680 0.5962  3 Sm 2.39-2.44, 3 F 2.58-2.63
F: 0.5000 0.3515 0.0000  2 Sm 2.26
F: 0.7019 0.0718 0.4038  3 Sm 2.39-2.44, 3 F 2.58-2.63

Formation energy (no corrections) in kJ/mol of formula units: -1543
Space-group type: Imm2, No. 44



No. 4
First-principles (GGA-PBE) data for crystalline TbEuGdGa at its relaxed geometry, as listed in Alexandria via LeMat-Bulk.

Cell lengths 5.3841, 5.3841, 5.3841 Å; angles 60.00, 60.00, 60.00 degrees
With the nearest neighbours (Å) after each atom.
Element x y z (fractional)
Eu: 0.7500 0.7500 0.7500  4 Gd 3.30, 4 Tb 3.30
Gd: 0.5000 0.5000 0.5000  4 Ga 3.30, 4 Eu 3.30
Tb: 0.0000 0.0000 0.0000  4 Ga 3.30, 4 Eu 3.30
Ga: 0.2500 0.2500 0.2500  4 Gd 3.30, 4 Tb 3.30

Space-group type: F-43m, No. 216
Energy relative to the elements in eV per formula unit: -0.336